Below is a relaxed structure of YAgSe2O8, with properties calculated at the PBE level.

ρ = 4.39 g cm⁻³
crystal system = trigonal
VASP energy = -5.839 eV per atom
D(E_F) = 0.0000 states/eV per atom

Cell: 5.2415 5.2415 23.0425 Å, 90.00 90.00 120.00°
Space group R-3 (No. 148, hexagonal axes)
Symmetry-distinct sites (fractional):
Y 0.0000 0.0000 0.0000 (multiplicity 3)
Ag 0.0000 0.0000 0.5000 (multiplicity 3)
Se 0.0000 0.0000 0.2478 (multiplicity 6)
O 0.0000 0.0000 0.1763 (multiplicity 6)
O 0.0033 0.7015 0.7262 (multiplicity 18)


Below is a relaxed structure of YAgSeO, with properties calculated at the PBE level.

ρ = 6.33 g cm⁻³
crystal system = trigonal
VASP energy = -6.308 eV per atom

Cell: 4.0201 4.0201 32.8015 Å, 90.00 90.00 120.00°
Space group R-3m (No. 166, hexagonal axes)
Symmetry-distinct sites (fractional):
Y 0.0000 0.0000 0.1244 (multiplicity 6)
Ag 0.0000 0.0000 0.3083 (multiplicity 6)
Se 0.0000 0.0000 0.3993 (multiplicity 6)
O 0.0000 0.0000 0.1926 (multiplicity 6)


Below is a relaxed structure of ZnAg2SeO4, with properties calculated at the PBE level.

ρ = 6.52 g cm⁻³
crystal system = monoclinic
VASP energy = -4.367 eV per atom
D(E_F) = 0.0000 states/eV per atom

Cell: 7.1967 6.9652 5.2933 Å, 90.00 125.46 90.00°
Space group C2 (No. 5)
Symmetry-distinct sites (fractional):
Zn 0.0000 0.0000 0.0000 (multiplicity 2)
Ag 0.0000 0.5239 0.0000 (multiplicity 2)
Ag 0.0000 0.7616 0.5000 (multiplicity 2)
Se 0.0000 0.2931 0.5000 (multiplicity 2)
O 0.1458 0.1283 0.4181 (multiplicity 4)
O 0.2402 0.8189 0.0565 (multiplicity 4)